This record from the Alexandria database describes CoPPdO2 at its PBEsol-relaxed geometry. The functional is SCAN.

a b c (Å): 3.708 3.708 5.053
angles (deg): 90.00 90.00 90.00
Site moments in Bohr magnetons follow the coordinates.
Fractional coordinates of all 5 atoms:
O 0.500 0.000 0.000  0.37
O 0.000 0.500 0.000  0.37
Co 0.500 0.500 0.500  2.27
Pd 0.000 0.000 0.000  0.36
P 0.000 0.000 0.500  0.11

Summary:
Space group: P4/mmm, No. 123
Raw formation energy (eV/atom): 0.357


This record from the Alexandria database describes V3P6WO24 at its PBEsol-relaxed geometry. The functional is SCAN.

a b c (Å): 8.475 8.475 8.739
angles (deg): 60.99 60.99 60.00
Site moments in Bohr magnetons follow the coordinates.
Fractional coordinates of all 34 atoms:
O 0.548 0.796 0.220  -0.01
O 0.796 0.436 0.220  -0.01
V 0.358 0.358 0.925  1.03
O 0.363 0.999 0.424  -0.01
O 0.509 0.152 0.079  -0.02
V 0.643 0.643 0.071  1.00
P 0.033 0.750 0.757  0.01
O 0.492 0.850 0.919  -0.01
O 0.083 0.716 0.275  0.00
O 0.999 0.788 0.578  0.00
O 0.999 0.214 0.424  -0.01
O 0.454 0.205 0.777  -0.02
P 0.257 0.525 0.247  0.01
O 0.635 0.999 0.578  0.00
O 0.788 0.635 0.578  0.00
O 0.205 0.564 0.777  -0.02
O 0.279 0.074 0.726  -0.01
O 0.214 0.363 0.424  -0.01
O 0.436 0.548 0.220  -0.01
O 0.152 0.259 0.079  -0.02
O 0.920 0.279 0.726  -0.01
O 0.850 0.739 0.919  -0.01
P 0.750 0.460 0.757  0.01
O 0.926 0.083 0.275  0.00
V 0.141 0.141 0.576  0.97
O 0.074 0.920 0.726  -0.01
O 0.716 0.926 0.275  0.00
O 0.739 0.492 0.919  -0.01
O 0.564 0.454 0.777  -0.02
W 0.859 0.859 0.423  0.04
P 0.525 0.971 0.247  0.01
O 0.259 0.509 0.079  -0.02
P 0.460 0.033 0.757  0.01
P 0.971 0.257 0.247  0.01

Summary:
Space group: R3, No. 146
Raw formation energy (eV/atom): -2.451


This record from the Alexandria database describes AuBr2Cl at its PBEsol-relaxed geometry. The functional is SCAN.

a b c (Å): 3.651 4.066 8.218
angles (deg): 90.00 90.00 116.68
Fractional coordinates of all 4 atoms:
Au 0.500 0.000 0.752
Cl 0.000 0.000 0.562
Br 0.000 0.000 0.963
Br 0.500 0.000 0.222

Summary:
Space group: Cmm2, No. 35
Excess energy over the best structure of this formula in the dataset (eV/f.u.): 0.05
Raw formation energy (eV/atom): -0.018


This record from the Alexandria database describes Ho4Ge9Ir13 at its PBEsol-relaxed geometry. The functional is SCAN.

a b c (Å): 3.946 11.174 19.289
angles (deg): 90.00 90.00 90.00
Fractional coordinates of all 52 atoms:
Ge 0.000 0.500 0.901
Ge 0.000 0.130 0.269
Ho 0.500 0.000 0.519
Ho 0.000 0.000 0.977
Ge 0.000 0.000 0.399
Ho 0.000 0.191 0.792
Ir 0.500 0.200 0.046
Ho 0.500 0.691 0.208
Ir 0.500 0.000 0.227
Ir 0.500 0.376 0.858
Ir 0.000 0.500 0.141
Ge 0.500 0.500 0.601
Ir 0.000 0.373 0.645
Ir 0.500 0.127 0.355
Ge 0.500 0.679 0.416
Ir 0.500 0.800 0.046
Ge 0.000 0.179 0.584
Ge 0.500 0.370 0.731
Ge 0.000 0.821 0.584
Ir 0.000 0.500 0.773
Ir 0.000 0.876 0.142
Ir 0.500 0.000 0.859
Ge 0.500 0.814 0.919
Ir 0.000 0.000 0.658
Ho 0.000 0.809 0.792
Ge 0.500 0.000 0.735
Ir 0.500 0.624 0.858
Ir 0.000 0.683 0.335
Ho 0.500 0.500 0.023
Ir 0.000 0.700 0.954
Ir 0.500 0.500 0.342
Ir 0.500 0.873 0.355
Ge 0.000 0.870 0.269
Ir 0.000 0.191 0.460
Ir 0.000 0.300 0.954
Ir 0.000 0.627 0.645
Ge 0.000 0.686 0.081
Ir 0.000 0.124 0.142
Ge 0.500 0.186 0.919
Ir 0.500 0.817 0.665
Ge 0.500 0.000 0.099
Ho 0.500 0.309 0.208
Ir 0.500 0.183 0.665
Ir 0.000 0.809 0.460
Ge 0.500 0.321 0.416
Ge 0.000 0.500 0.265
Ir 0.000 0.317 0.335
Ir 0.500 0.309 0.540
Ir 0.500 0.691 0.540
Ge 0.000 0.314 0.081
Ho 0.000 0.500 0.481
Ge 0.500 0.630 0.731

Summary:
Energy of formation (eV per atom): -0.80
Space group: Pmmn, No. 59


This record from the Alexandria database describes Mn2CdAu at its PBEsol-relaxed geometry. The functional is SCAN.

a b c (Å): 2.902 4.875 4.798
angles (deg): 101.83 90.00 107.31
Site moments in Bohr magnetons follow the coordinates.
Fractional coordinates of all 4 atoms:
Au 0.494 0.989 0.481  0.05
Mn 0.748 0.495 0.255  3.89
Cd 0.252 0.504 0.762  -0.07
Mn 0.006 0.013 0.002  3.94

Summary:
Energy of formation (eV per atom): -0.17
Space group: Cm, No. 8


This record from the Alexandria database describes LaSc2 at its PBEsol-relaxed geometry. The functional is SCAN.

a b c (Å): 4.486 4.923 7.618
angles (deg): 90.00 107.12 90.00
Fractional coordinates of all 6 atoms:
La 0.916 0.750 0.833
Sc 0.588 0.750 0.177
La 0.084 0.250 0.167
Sc 0.412 0.250 0.823
Sc 0.246 0.750 0.492
Sc 0.754 0.250 0.508

Summary:
Energy of formation (eV per atom): 0.10
Space group: Cmcm, No. 63
Excess energy over the best structure of this formula in the dataset (eV/f.u.): 0.11


This record from the Alexandria database describes K2AuCl at its PBEsol-relaxed geometry. The functional is SCAN.

a b c (Å): 3.968 4.109 8.370
angles (deg): 104.21 103.71 90.00
Fractional coordinates of all 4 atoms:
K 0.712 0.212 0.424
Cl 0.294 0.794 0.588
K 0.946 0.946 0.892
Au 0.548 0.548 0.096

Summary:
Space group: Imm2, No. 44
Excess energy over the best structure of this formula in the dataset (eV/f.u.): 0.16
Raw formation energy (eV/atom): -1.207


This record from the Alexandria database describes CdGa2ICl at its PBEsol-relaxed geometry. The functional is SCAN.

a b c (Å): 5.451 5.451 5.441
angles (deg): 90.00 90.00 90.00
Fractional coordinates of all 5 atoms:
Cd 0.000 0.000 0.500
I 0.500 0.500 0.500
Cl 0.000 0.000 0.000
Ga 0.500 0.000 0.000
Ga 0.000 0.500 0.000

Summary:
Space group: P4/mmm, No. 123
Raw formation energy (eV/atom): 0.109


no.,volume (Å³ per atom)
1,13.89
2,13.25
3,27.25
4,16.36
5,15.82
6,26.80
7,32.07
8,32.33